A plane-wave DFT calculation with PBE+U was carried out for a relaxed structure of Mn2InO5.

The space group is Cmcm (No. 63) and the conventional cell measures 3.958, 9.973 and 10.233 Å, with angles of 90.00, 90.00 and 90.00 degrees. The distinct sites, in fractional coordinates, are Mn at (0.000, 0.138, 0.057), In at (0.000, 0.198, 0.750), O at (0.000, 0.046, 0.609), O at (0.000, 0.212, 0.250) and O at (0.000, 0.311, 0.553).

The calculation puts the energy above the lowest structure with this stoichiometry at 55 meV per atom. The density comes out at 5.01 g/cm3. The crystal system is orthorhombic. The calculation puts the total DFT energy (no corrections) at -6.738 eV/atom.